Here is an optimized crystal structure of Y2ErMg9 from Alexandria via LeMat-Bulk. Energies are from PBE.

a b c (Å): 6.0414 6.0414 10.2641
angles (deg): 72.88 72.88 60.00
With the nearest neighbours (Å) after each atom.
Fractional coordinates of all 12 atoms:
Er  0.0000  0.0000  0.0000  18 Mg 3.49-3.88
Y  0.8578  0.8578  0.4265  12 Mg 3.46-3.56, 3 Y 3.77
Y  0.1422  0.1422  0.5735  12 Mg 3.46-3.56, 3 Y 3.77
Mg  0.6659  0.6659  0.0024  6 Mg 2.99-3.00
Mg  0.4133  0.4133  0.2521  7 Mg 2.97-3.07
Mg  0.5867  0.0787  0.7479  7 Mg 2.97-3.07
Mg  0.5867  0.5867  0.7479  7 Mg 2.97-3.07
Mg  0.5000  0.5000  0.5000  6 Mg 2.98
Mg  0.4133  0.9213  0.2521  7 Mg 2.97-3.07
Mg  0.0787  0.5867  0.7479  7 Mg 2.97-3.07
Mg  0.3341  0.3341  0.9976  6 Mg 2.99-3.00
Mg  0.9213  0.4133  0.2521  7 Mg 2.97-3.07

Computed properties:
Symmetry = R-3m (166)
Calculated total energy = -2.69 eV per atom
Calculated formation energy = -0.034 eV per atom